Here is an optimized crystal structure of Nd4Zn from Alexandria. Energies are from PBE-GGA.

Computed properties:
- total moment (μB per cell) = 0.0
- formation enthalpy at 0 K (meV/atom) = -117
- crystal system = tetragonal
- space-group type = I4/mmm (139)
- polymorph energy (0 for the lowest one) (meV per atom) = 0

Cell: 11.745 11.745 11.745 Å, 161.89 161.89 25.72°
Element x y z (fractional)
1 Nd 0.079 0.079 0.000
2 Nd 0.306 0.306 0.000
3 Nd 0.694 0.694 0.000
4 Nd 0.921 0.921 0.000
5 Zn 0.500 0.500 0.000

---

Here is an optimized crystal structure of Tl2H3I4 from Alexandria. Energies are from PBE-GGA.

Computed properties:
- total moment (μB per cell) = 2.0
- crystal system = triclinic
- space-group type = P-1 (2)
- calculated total energy (Ha/atom) = -0.087

Cell: 4.893 11.749 12.092 Å, 82.01 89.47 78.25°
Element x y z (fractional)
1 Tl 0.003 0.162 0.327
2 Tl 0.360 0.175 0.814
3 Tl 0.640 0.825 0.186
4 Tl 0.997 0.838 0.673
5 H 0.147 0.522 0.218
6 H 0.335 0.740 0.975
7 H 0.440 0.710 0.498
8 H 0.560 0.290 0.502
9 H 0.665 0.260 0.025
10 H 0.853 0.478 0.782
11 I 0.117 0.862 0.380
12 I 0.230 0.622 0.097
13 I 0.384 0.383 0.393
14 I 0.475 0.869 0.879
15 I 0.525 0.131 0.121
16 I 0.616 0.617 0.607
17 I 0.770 0.378 0.903
18 I 0.883 0.138 0.620